(1)
A relaxed Ta8Co5 crystal. Source: OQMD via LeMat-Bulk, functional PBE.

space-group type	R-3m, No. 166
ΔH_f (0 K)	0.52	eV per atom

a b c (Å): 8.467 8.467 8.467
angles (deg): 39.04 39.04 39.04
Fractional positions:
Ta  0.059  0.059  0.059
Ta  0.086  0.587  0.587
Ta  0.413  0.413  0.914
Ta  0.413  0.914  0.413
Ta  0.587  0.086  0.587
Ta  0.587  0.587  0.086
Ta  0.914  0.413  0.413
Ta  0.941  0.941  0.941
Co  0.159  0.159  0.159
Co  0.330  0.330  0.330
Co  0.500  0.500  0.500
Co  0.670  0.670  0.670
Co  0.841  0.841  0.841

(2)
A relaxed CsSiAgO3 crystal. Source: OQMD via LeMat-Bulk, functional PBE.

uncorrected energy	-5.48	eV/atom
space-group type	Pnma, No. 62

a b c (Å): 12.721 3.027 9.985
angles (deg): 90.00 90.00 90.00
Fractional positions:
Cs  0.244  0.250  0.122
Cs  0.256  0.750  0.622
Cs  0.744  0.250  0.378
Cs  0.756  0.750  0.878
Si  0.025  0.250  0.380
Si  0.475  0.750  0.880
Si  0.525  0.250  0.120
Si  0.975  0.750  0.620
Ag  0.023  0.250  0.896
Ag  0.477  0.750  0.396
Ag  0.523  0.250  0.604
Ag  0.977  0.750  0.104
O  0.062  0.750  0.754
O  0.068  0.250  0.544
O  0.098  0.750  0.327
O  0.402  0.250  0.827
O  0.432  0.750  0.044
O  0.438  0.250  0.254
O  0.562  0.750  0.746
O  0.568  0.250  0.956
O  0.598  0.750  0.173
O  0.902  0.250  0.673
O  0.932  0.750  0.456
O  0.938  0.250  0.246

(3)
A relaxed RbPmZr crystal. Source: OQMD via LeMat-Bulk, functional PBE.

uncorrected energy	-3.29	eV/atom
space-group type	F-43m, No. 216

a b c (Å): 5.855 5.855 5.855
angles (deg): 60.00 60.00 60.00
Fractional positions:
Rb  0.000  0.000  0.000
Pm  0.500  0.500  0.500
Zr  0.750  0.750  0.750

(4)
A relaxed LiDyP4O12 crystal. Source: OQMD via LeMat-Bulk, functional PBE.

uncorrected energy	-7.32	eV/atom
space-group type	C2/c, No. 15

a b c (Å): 8.770 8.770 9.442
angles (deg): 122.39 122.39 46.75
Fractional positions:
Li  0.205  0.795  0.750
Li  0.795  0.205  0.250
Dy  0.295  0.705  0.250
Dy  0.705  0.295  0.750
P  0.084  0.190  0.160
P  0.190  0.084  0.660
P  0.204  0.501  0.403
P  0.499  0.796  0.097
P  0.501  0.204  0.903
P  0.796  0.499  0.597
P  0.810  0.916  0.340
P  0.916  0.810  0.840
O  0.034  0.282  0.577
O  0.062  0.063  0.699
O  0.063  0.062  0.199
O  0.108  0.661  0.953
O  0.170  0.319  0.349
O  0.254  0.482  0.264
O  0.282  0.034  0.077
O  0.319  0.170  0.849
O  0.339  0.892  0.547
O  0.349  0.515  0.586
O  0.482  0.254  0.764
O  0.485  0.651  0.914
O  0.515  0.349  0.086
O  0.518  0.746  0.236
O  0.651  0.485  0.414
O  0.661  0.108  0.453
O  0.681  0.830  0.151
O  0.718  0.966  0.923
O  0.746  0.518  0.736
O  0.830  0.681  0.651
O  0.892  0.339  0.047
O  0.937  0.938  0.801
O  0.938  0.937  0.301
O  0.966  0.718  0.423

(5)
A relaxed Sm3S4 crystal. Source: OQMD via LeMat-Bulk, functional PBE.

uncorrected energy	-6.40	eV/atom
space-group type	I-43d, No. 220

a b c (Å): 7.334 7.334 7.334
angles (deg): 109.47 109.47 109.47
Fractional positions:
Sm  0.125  0.875  0.250
Sm  0.250  0.125  0.875
Sm  0.375  0.625  0.750
Sm  0.625  0.750  0.375
Sm  0.750  0.375  0.625
Sm  0.875  0.250  0.125
S  0.000  0.147  0.500
S  0.000  0.647  0.500
S  0.147  0.500  0.000
S  0.353  0.353  0.353
S  0.500  0.000  0.147
S  0.500  0.000  0.647
S  0.647  0.500  0.000
S  0.853  0.853  0.853

(6)
A relaxed NdTlCdO3 crystal. Source: OQMD via LeMat-Bulk, functional PBE.

uncorrected energy	-5.56	eV/atom
space-group type	Cmcm, No. 63

a b c (Å): 7.115 7.115 8.954
angles (deg): 90.00 90.00 150.17
Fractional positions:
Nd  0.000  0.000  0.000
Nd  0.000  0.000  0.500
Tl  0.334  0.666  0.750
Tl  0.666  0.334  0.250
Cd  0.335  0.665  0.250
Cd  0.665  0.335  0.750
O  0.057  0.943  0.250
O  0.393  0.607  0.034
O  0.393  0.607  0.466
O  0.607  0.393  0.534
O  0.607  0.393  0.966
O  0.943  0.057  0.750

(7)
A relaxed LuAlCoAu crystal. Source: OQMD via LeMat-Bulk, functional PBE.

uncorrected energy	-4.84	eV/atom
space-group type	F-43m, No. 216

a b c (Å): 4.629 4.629 4.629
angles (deg): 60.00 60.00 60.00
Fractional positions:
Lu  0.000  0.000  0.000
Al  0.250  0.250  0.250
Co  0.500  0.500  0.500
Au  0.750  0.750  0.750

(8)
A relaxed NbCd2Au crystal. Source: OQMD via LeMat-Bulk, functional PBE.

space-group type	F-43m, No. 216
ΔH_f (0 K)	0.20	eV per atom

a b c (Å): 4.773 4.773 4.773
angles (deg): 60.00 60.00 60.00
Fractional positions:
Nb  0.000  0.000  0.000
Cd  0.500  0.500  0.500
Cd  0.750  0.750  0.750
Au  0.250  0.250  0.250

(9)
A relaxed Nd6Fe13Cu crystal. Source: OQMD via LeMat-Bulk, functional PBE.

space-group type	I4/mcm, No. 140
ΔH_f (0 K)	0.00	eV per atom

a b c (Å): 12.644 12.644 12.644
angles (deg): 143.12 143.12 53.14
Fractional positions:
Nd  0.025  0.525  0.173
Nd  0.109  0.109  0.000
Nd  0.148  0.975  0.500
Nd  0.352  0.852  0.827
Nd  0.391  0.391  0.000
Nd  0.475  0.648  0.500
Nd  0.525  0.352  0.500
Nd  0.609  0.609  0.000
Nd  0.648  0.148  0.173
Nd  0.852  0.025  0.500
Nd  0.891  0.891  0.000
Nd  0.975  0.475  0.827
Fe  0.000  0.500  0.500
Fe  0.017  0.289  0.500
Fe  0.067  0.209  0.276
Fe  0.118  0.618  0.858
Fe  0.209  0.933  0.143
Fe  0.211  0.483  0.500
Fe  0.239  0.739  0.858
Fe  0.261  0.118  0.500
Fe  0.289  0.789  0.272
Fe  0.291  0.433  0.724
Fe  0.382  0.239  0.500
Fe  0.433  0.709  0.143
Fe  0.483  0.983  0.272
Fe  0.500  0.000  0.500
Fe  0.517  0.017  0.728
Fe  0.567  0.291  0.857
Fe  0.618  0.761  0.500
Fe  0.709  0.567  0.276
Fe  0.711  0.211  0.728
Fe  0.739  0.882  0.500
Fe  0.761  0.261  0.142
Fe  0.789  0.517  0.500
Fe  0.791  0.067  0.857
Fe  0.882  0.382  0.142
Fe  0.933  0.791  0.724
Fe  0.983  0.711  0.500
Cu  0.250  0.250  0.000
Cu  0.750  0.750  0.000

(10)
A relaxed HoPOsO crystal. Source: OQMD via LeMat-Bulk, functional PBE.

uncorrected energy	-8.43	eV/atom
space-group type	P4/nmm, No. 129

a b c (Å): 3.989 3.989 7.809
angles (deg): 90.00 90.00 90.00
Fractional positions:
Ho  0.250  0.250  0.133
Ho  0.750  0.750  0.867
P  0.250  0.250  0.658
P  0.750  0.750  0.342
Os  0.250  0.750  0.500
Os  0.750  0.250  0.500
O  0.250  0.750  0.000
O  0.750  0.250  0.000

(11)
A relaxed Zr2Be2Pt3 crystal. Source: OQMD via LeMat-Bulk, functional PBE.

uncorrected energy	-6.76	eV/atom
space-group type	R3m, No. 160

a b c (Å): 7.536 7.536 7.536
angles (deg): 33.93 33.93 33.93
Fractional positions:
Zr  0.000  0.000  0.000
Zr  0.487  0.487  0.487
Be  0.243  0.243  0.243
Be  0.743  0.743  0.743
Pt  0.365  0.365  0.365
Pt  0.616  0.616  0.616
Pt  0.868  0.868  0.868

(12)
A relaxed Mg6InHg crystal. Source: OQMD via LeMat-Bulk, functional PBE.

uncorrected energy	-1.65	eV/atom
space-group type	P-6m2, No. 187

a b c (Å): 6.272 6.272 5.147
angles (deg): 90.00 90.00 120.00
Fractional positions:
Mg  0.167  0.334  0.000
Mg  0.167  0.833  0.000
Mg  0.502  0.003  0.500
Mg  0.502  0.498  0.500
Mg  0.666  0.833  0.000
Mg  0.997  0.498  0.500
In  0.000  0.000  0.500
Hg  0.667  0.333  0.000

Across the entries above, theoretical density takes the values 13.36, 5.47, 3.76, 3.75, 6.34, 7.50, 10.84, 11.12, 7.60, 10.75, 10.98, 4.37 Mg/m³, respectively.